Model one:
BaMo2W | PBEsol | relaxed

Lattice parameters (Å, degrees): 3.1887 4.7859 4.7859 90.00 90.00 90.00
With the nearest neighbours (Å) after each atom.
Positions (direct):
Mo1 0.0000 0.5000 0.0000  4 Ba 2.88, 4 W 2.88, 2 Mo 3.19
Mo2 0.0000 0.0000 0.5000  4 Ba 2.88, 4 W 2.88, 2 Mo 3.19
Ba1 0.5000 0.0000 0.0000  8 Mo 2.88, 2 Ba 3.19
W1 0.5000 0.5000 0.5000  8 Mo 2.88, 2 W 3.19

Computed properties:
- spin magnetization (μB/f.u.) = 0.00

---

Model two:
BaMo2W | PBEsol | relaxed

Lattice parameters (Å, degrees): 2.9814 4.1389 7.3772 90.00 99.93 90.00
With the nearest neighbours (Å) after each atom.
Positions (direct):
Mo1 0.7833 0.5000 0.2474  2 Mo 2.56, 2 W 2.60
W1 0.4844 0.0000 0.4029  3 Mo 2.38-2.60
Mo2 0.0637 0.0000 0.0971  1 W 2.38, 2 Mo 2.56
Ba1 0.1686 0.5000 0.7526  2 Ba 2.98, 2 Mo 3.33

Computed properties:
- spin magnetization (μB/f.u.) = 0.00

---

Preferred: model two; penalty for the next structure: 472 meV per atom.

---

Model one:
BaZn2Mo | PBEsol | relaxed

Lattice parameters (Å, degrees): 3.0286 3.0299 8.5385 90.00 90.00 90.00
With the nearest neighbours (Å) after each atom.
Positions (direct):
Zn1 0.5000 0.5000 0.1825  4 Zn 2.60
Ba1 0.0000 0.0000 0.4918  4 Ba 3.03
Mo1 0.5000 0.5000 0.8165  4 Zn 2.70
Zn2 0.0000 0.0000 0.0092  4 Zn 2.60, 4 Mo 2.70

Computed properties:
- spin magnetization (μB/f.u.) = 0.00

---

Model two:
BaZn2Mo | PBEsol | relaxed

Lattice parameters (Å, degrees): 2.9168 5.2054 5.2054 90.00 90.00 90.00
With the nearest neighbours (Å) after each atom.
Positions (direct):
Mo1 0.5000 0.0000 0.0000  2 Mo 2.92, 8 Zn 2.98
Zn1 0.0000 0.5000 0.0000  2 Zn 2.92, 4 Ba 2.98, 4 Mo 2.98
Zn2 0.0000 0.0000 0.5000  2 Zn 2.92, 4 Ba 2.98, 4 Mo 2.98
Ba1 0.5000 0.5000 0.5000  2 Ba 2.92, 8 Zn 2.98

Computed properties:
- spin magnetization (μB/f.u.) = 0.00

---

Model three:
BaZn2Mo | PBEsol | relaxed

Lattice parameters (Å, degrees): 2.9328 5.2180 5.2180 99.49 90.00 90.00
With the nearest neighbours (Å) after each atom.
Positions (direct):
Mo1 0.5000 0.5000 0.5000  2 Mo 2.93, 8 Zn 2.99
Zn1 0.0000 0.0000 0.5000  2 Zn 2.93, 4 Mo 2.99, 4 Ba 2.99
Zn2 0.0000 0.5000 0.0000  2 Zn 2.93, 4 Ba 2.99, 4 Mo 2.99
Ba1 0.5000 0.0000 0.0000  2 Ba 2.93, 8 Zn 2.99

Computed properties:
- spin magnetization (μB/f.u.) = 0.00

---

Preferred: model one; penalty for the next structure: 120 meV per atom.

---

Model one:
BaZnMo | PBEsol | relaxed

Lattice parameters (Å, degrees): 4.9510 4.9510 4.9510 60.00 60.00 60.00
With the nearest neighbours (Å) after each atom.
Positions (direct):
Zn1 0.2500 0.2500 0.2500  4 Mo 3.03, 4 Ba 3.03
Ba1 0.0000 0.0000 0.0000  4 Zn 3.03
Mo1 0.5000 0.5000 0.5000  4 Zn 3.03

Computed properties:
- spin magnetization (μB/f.u.) = 3.46

---

Model two:
BaZnMo | PBEsol | relaxed

Lattice parameters (Å, degrees): 5.1548 5.1548 5.1548 60.00 60.00 60.00
With the nearest neighbours (Å) after each atom.
Positions (direct):
Ba1 0.2500 0.2500 0.2500  4 Mo 3.16, 4 Zn 3.16
Mo1 0.0000 0.0000 0.0000  4 Ba 3.16
Zn1 0.5000 0.5000 0.5000  4 Ba 3.16

Computed properties:
- spin magnetization (μB/f.u.) = 4.02

---

Preferred: model one; penalty for the next structure: 523 meV per atom.

---

Model one:
BaZrMo2 | PBEsol | relaxed

Lattice parameters (Å, degrees): 3.3472 4.8813 4.8813 90.00 90.00 90.00
With the nearest neighbours (Å) after each atom.
Positions (direct):
Ba1 0.5000 0.0000 0.0000  8 Mo 2.96
Mo1 0.0000 0.0000 0.5000  4 Zr 2.96, 4 Ba 2.96
Zr1 0.5000 0.5000 0.5000  8 Mo 2.96
Mo2 0.0000 0.5000 0.0000  4 Zr 2.96, 4 Ba 2.96

Computed properties:
- spin magnetization (μB/f.u.) = 0.00

---

Model two:
BaZrMo2 | PBEsol | relaxed

Lattice parameters (Å, degrees): 3.2955 5.0933 5.6316 116.89 107.01 90.00
With the nearest neighbours (Å) after each atom.
Positions (direct):
Mo1 0.2465 0.2465 0.4931  2 Zr 2.86, 2 Ba 2.92, 4 Mo 3.03
Ba1 0.0000 0.5000 0.0000  4 Mo 2.92, 4 Zr 3.03
Zr1 0.5000 0.0000 0.0000  4 Mo 2.86, 4 Ba 3.03
Mo2 0.7535 0.7535 0.5069  2 Zr 2.86, 2 Ba 2.92, 4 Mo 3.03

Computed properties:
- spin magnetization (μB/f.u.) = 0.00

---

Preferred: model two; penalty for the next structure: 20 meV per atom.

---

Model one:
BaPtN2 | PBEsol | relaxed

Lattice parameters (Å, degrees): 4.4881 4.4881 6.0923 68.39 68.39 60.00
With the nearest neighbours (Å) after each atom.
Positions (direct):
Ba1 0.5000 0.5000 0.5000  6 N 2.78
Pt1 0.0000 0.0000 0.0000  2 N 1.75
N1 0.1061 0.1061 0.6818  1 Pt 1.75
N2 0.8939 0.8939 0.3182  1 Pt 1.75

Computed properties:
- spin magnetization (μB/f.u.) = 0.00

---

Model two:
BaPtN2 | PBEsol | relaxed

Lattice parameters (Å, degrees): 4.3613 4.3613 4.3613 60.00 60.00 60.00
With the nearest neighbours (Å) after each atom.
Positions (direct):
Pt1 0.5000 0.5000 0.5000  8 N 2.67
N1 0.7500 0.7500 0.7500  4 Pt 2.67, 4 Ba 2.67
Ba1 0.0000 0.0000 0.0000  8 N 2.67
N2 0.2500 0.2500 0.2500  4 Ba 2.67, 4 Pt 2.67

Computed properties:
- spin magnetization (μB/f.u.) = 0.00

---

Preferred: model one; penalty for the next structure: 1058 meV per atom.

---

Model one:
BaTe2N2 | PBEsol | relaxed

Lattice parameters (Å, degrees): 4.5911 4.5911 6.2267 111.63 111.63 90.00
With the nearest neighbours (Å) after each atom.
Positions (direct):
Te1 0.6960 0.6960 0.3919  4 N 2.37
N1 0.2500 0.7500 0.5000  4 Te 2.37
N2 0.7500 0.2500 0.5000  4 Te 2.37
Te2 0.3040 0.3040 0.6081  4 N 2.37
Ba1 0.0000 0.0000 0.0000  2 Te 3.23, 8 N 3.51

Computed properties:
- spin magnetization (μB/f.u.) = 0.00

---

Model two:
BaTe2N2 | PBEsol | relaxed

Lattice parameters (Å, degrees): 4.5799 4.5799 7.0801 90.00 90.00 90.00
With the nearest neighbours (Å) after each atom.
Positions (direct):
Ba1 0.0000 0.0000 0.0000  4 N 2.29
Te1 0.0000 0.0000 0.5000  4 Te 3.24, 2 Ba 3.54
Te2 0.5000 0.5000 0.5000  4 Te 3.24
N1 0.0000 0.5000 0.0000  2 Ba 2.29
N2 0.5000 0.0000 0.0000  2 Ba 2.29

Computed properties:
- spin magnetization (μB/f.u.) = 2.89

---

Preferred: model one; penalty for the next structure: 1121 meV per atom.

---

Model one:
Ba3Na | PBEsol | relaxed

Lattice parameters (Å, degrees): 5.8820 5.8820 7.6220 112.70 112.70 90.00
With the nearest neighbours (Å) after each atom.
Positions (direct):
Ba1 0.2500 0.7500 0.5000  8 Ba 4.16-4.34, 4 Na 4.34
Na1 0.0000 0.0000 0.0000  12 Ba 4.16-4.34
Ba2 0.7500 0.2500 0.5000  8 Ba 4.16-4.34, 4 Na 4.34
Ba3 0.5000 0.5000 0.0000  4 Na 4.16, 8 Ba 4.34

Computed properties:
- spin magnetization (μB/f.u.) = 0.00

---

Model two:
Ba3Na | PBEsol | relaxed

Lattice parameters (Å, degrees): 6.0420 6.0420 6.0420 90.00 90.00 90.00
With the nearest neighbours (Å) after each atom.
Positions (direct):
Ba1 0.0000 0.5000 0.5000  8 Ba 4.27, 4 Na 4.27
Ba2 0.5000 0.5000 0.0000  8 Ba 4.27, 4 Na 4.27
Na1 0.0000 0.0000 0.0000  12 Ba 4.27
Ba3 0.5000 0.0000 0.5000  8 Ba 4.27, 4 Na 4.27

Computed properties:
- spin magnetization (μB/f.u.) = 0.00

---

Preferred: model two; penalty for the next structure: 8 meV per atom.

---

Model one:
BaNa2Nb | PBEsol | relaxed

Lattice parameters (Å, degrees): 5.7067 5.7067 5.7067 60.00 60.00 60.00
With the nearest neighbours (Å) after each atom.
Positions (direct):
Ba1 0.5000 0.5000 0.5000  8 Na 3.49
Na1 0.2500 0.2500 0.2500  4 Ba 3.49, 4 Nb 3.49
Na2 0.7500 0.7500 0.7500  4 Ba 3.49, 4 Nb 3.49
Nb1 0.0000 0.0000 0.0000  8 Na 3.49

Computed properties:
- spin magnetization (μB/f.u.) = 4.30

---

Model two:
BaNa2Nb | PBEsol | relaxed

Lattice parameters (Å, degrees): 6.7156 7.3740 7.3740 78.03 62.91 62.91
With the nearest neighbours (Å) after each atom.
Positions (direct):
Na1 0.3750 0.4623 0.0377  2 Nb 3.16, 2 Na 3.43
Nb1 0.5000 0.0000 0.0000  4 Na 3.16, 2 Ba 3.36
Na2 0.8750 0.5377 0.9623  2 Nb 3.16, 2 Na 3.43
Nb2 0.2500 0.5000 0.5000  4 Na 3.16, 2 Ba 3.36
Na3 0.5873 0.0377 0.5377  2 Nb 3.16, 2 Na 3.43
Ba1 0.0000 0.0000 0.0000  2 Nb 3.36, 4 Na 3.64
Ba2 0.7500 0.5000 0.5000  2 Nb 3.36, 4 Na 3.64
Na4 0.1627 0.9623 0.4623  2 Nb 3.16, 2 Na 3.43

Computed properties:
- spin magnetization (μB/f.u.) = 4.27

---

Preferred: model one; penalty for the next structure: 141 meV per atom.

---

Model one:
BaNa6O4 | PBEsol | relaxed

Lattice parameters (Å, degrees): 5.6419 8.0492 8.0492 90.00 90.00 90.00
With the nearest neighbours (Å) after each atom.
Positions (direct):
Na1 0.5000 0.7129 0.2871  2 O 2.33
O1 0.2322 0.7686 0.5000  4 Na 2.33-2.35, 1 Ba 2.53
Ba1 0.5000 0.0000 0.0000  4 O 2.53
Na2 0.5000 0.7129 0.7129  2 O 2.33
O2 0.2322 0.2314 0.5000  4 Na 2.33-2.35, 1 Ba 2.53
Na3 0.5000 0.2871 0.7129  2 O 2.33
Na4 0.4795 0.0000 0.5000  4 O 2.33-2.35
Na5 0.0000 0.7871 0.7871  2 O 2.33
Na6 0.0205 0.5000 0.0000  4 O 2.33-2.35
Na7 0.0000 0.2129 0.2129  2 O 2.33
Na8 0.5000 0.2871 0.2871  2 O 2.33
O3 0.7322 0.0000 0.2686  4 Na 2.33-2.35, 1 Ba 2.53
Na9 0.0000 0.2129 0.7871  2 O 2.33
Ba2 0.0000 0.5000 0.5000  4 O 2.53
O4 0.2678 0.7314 0.0000  4 Na 2.33-2.35, 1 Ba 2.53
O5 0.2678 0.2686 0.0000  4 Na 2.33-2.35, 1 Ba 2.53
Na10 0.9795 0.0000 0.5000  4 O 2.33-2.35
Na11 0.0000 0.7871 0.2129  2 O 2.33
O6 0.7322 0.0000 0.7314  4 Na 2.33-2.35, 1 Ba 2.53
O7 0.7678 0.5000 0.2314  4 Na 2.33-2.35, 1 Ba 2.53
O8 0.7678 0.5000 0.7686  4 Na 2.33-2.35, 1 Ba 2.53
Na12 0.5205 0.5000 0.0000  4 O 2.33-2.35

Computed properties:
- spin magnetization (μB/f.u.) = 0.00

---

Model two:
BaNa6O4 | PBEsol | relaxed

Lattice parameters (Å, degrees): 9.8655 9.8655 9.8655 109.47 109.47 109.47
With the nearest neighbours (Å) after each atom.
Positions (direct):
Na1 0.7533 0.2808 0.2808  2 O 2.26-2.27
Na2 0.2187 0.0000 0.4719  4 O 2.41-2.70
O1 0.0000 0.0000 0.0000  4 Ba 2.48
Na3 0.5281 0.7468 0.5281  4 O 2.41-2.70
Ba1 0.0000 0.7489 0.0000  4 O 2.48-2.51
Na4 0.7813 0.2532 0.7813  4 O 2.41-2.70
O2 0.2761 0.2761 0.5208  4 Na 2.26-2.43, 1 Ba 2.51
O3 0.0000 0.2447 0.7239  4 Na 2.26-2.43, 1 Ba 2.51
Ba2 0.2511 0.2511 0.2511  4 O 2.48-2.51
O4 0.0000 0.5000 0.5000  4 Na 2.27
O5 0.5000 0.0000 0.5000  4 Na 2.27
Na5 0.2187 0.4719 0.0000  4 O 2.41-2.70
Na6 0.0000 0.4724 0.7192  2 O 2.26-2.27
O6 0.2447 0.7239 0.0000  4 Na 2.26-2.43, 1 Ba 2.51
O7 0.0000 0.7239 0.2447  4 Na 2.26-2.43, 1 Ba 2.51
Na7 0.2808 0.2808 0.7533  2 O 2.26-2.27
Na8 0.0000 0.4719 0.2187  4 O 2.41-2.70
Na9 0.5281 0.5281 0.7468  4 O 2.41-2.70
Na10 0.2808 0.7533 0.2808  2 O 2.26-2.27
Na11 0.7813 0.7813 0.2532  4 O 2.41-2.70
Na12 0.7192 0.0000 0.4724  2 O 2.26-2.27
O8 0.4792 0.7553 0.7553  4 Na 2.26-2.43, 1 Ba 2.51
Na13 0.4719 0.0000 0.2187  4 O 2.41-2.70
Na14 0.2467 0.5276 0.5276  2 O 2.26-2.27
O9 0.5000 0.5000 0.0000  4 Na 2.27
Na15 0.7192 0.4724 0.0000  2 O 2.26-2.27
O10 0.7553 0.7553 0.4792  4 Na 2.26-2.43, 1 Ba 2.51
Na16 0.4719 0.2187 0.0000  4 O 2.41-2.70
O11 0.2447 0.0000 0.7239  4 Na 2.26-2.43, 1 Ba 2.51
Na17 0.7468 0.5281 0.5281  4 O 2.41-2.70
O12 0.7553 0.4792 0.7553  4 Na 2.26-2.43, 1 Ba 2.51
O13 0.5208 0.2761 0.2761  4 Na 2.26-2.43, 1 Ba 2.51
Na18 0.0000 0.2187 0.4719  4 O 2.41-2.70
O14 0.7239 0.2447 0.0000  4 Na 2.26-2.43, 1 Ba 2.51
Na19 0.4724 0.0000 0.7192  2 O 2.26-2.27
Na20 0.4724 0.7192 0.0000  2 O 2.26-2.27
O15 0.7239 0.0000 0.2447  4 Na 2.26-2.43, 1 Ba 2.51
Ba3 0.0000 0.0000 0.7489  4 O 2.48-2.51
Na21 0.2532 0.7813 0.7813  4 O 2.41-2.70
Na22 0.0000 0.7192 0.4724  2 O 2.26-2.27
Na23 0.5276 0.5276 0.2467  2 O 2.26-2.27
Na24 0.5276 0.2467 0.5276  2 O 2.26-2.27
Ba4 0.7489 0.0000 0.0000  4 O 2.48-2.51
O16 0.2761 0.5208 0.2761  4 Na 2.26-2.43, 1 Ba 2.51

Computed properties:
- spin magnetization (μB/f.u.) = 0.00

---

Preferred: model one; penalty for the next structure: 13 meV per atom.

---

Model one:
Ba3NaRu2O9 | PBEsol | relaxed

Lattice parameters (Å, degrees): 5.8409 5.8409 14.4626 90.00 90.00 120.00
With the nearest neighbours (Å) after each atom.
Positions (direct):
Ba1 0.3333 0.6667 0.9086  12 O 2.92-3.06
O1 0.6460 0.8230 0.0901  1 Ru 1.84
O2 0.3540 0.1770 0.5901  1 Ru 1.84
Ba2 0.0000 0.0000 0.7500  12 O 2.93
Ru1 0.3333 0.6667 0.1556  6 O 1.84-2.04
Ba3 0.3333 0.6667 0.5914  12 O 2.92-3.06
Ba4 0.6667 0.3333 0.4086  12 O 2.92-3.06
O3 0.3540 0.1770 0.9099  1 Ru 1.84
O4 0.1770 0.8230 0.0901  1 Ru 1.84
O5 0.8230 0.6460 0.9099  1 Ru 1.84
O6 0.8230 0.1770 0.5901  1 Ru 1.84
O7 0.5165 0.4835 0.7500  2 Ru 2.04
Ru2 0.3333 0.6667 0.3444  6 O 1.84-2.04
Ba5 0.6667 0.3333 0.0914  12 O 2.92-3.06
O8 0.0330 0.5165 0.2500  2 Ru 2.04
O9 0.8230 0.6460 0.5901  1 Ru 1.84
Ru3 0.6667 0.3333 0.8444  6 O 1.84-2.04
Ru4 0.6667 0.3333 0.6556  6 O 1.84-2.04
O10 0.4835 0.9670 0.2500  2 Ru 2.04
O11 0.8230 0.1770 0.9099  1 Ru 1.84
Na1 0.0000 0.0000 0.0000  6 O 2.21
O12 0.9670 0.4835 0.7500  2 Ru 2.04
O13 0.5165 0.0330 0.7500  2 Ru 2.04
O14 0.1770 0.3540 0.0901  1 Ru 1.84
Na2 0.0000 0.0000 0.5000  6 O 2.21
O15 0.6460 0.8230 0.4099  1 Ru 1.84
O16 0.1770 0.8230 0.4099  1 Ru 1.84
O17 0.1770 0.3540 0.4099  1 Ru 1.84
O18 0.4835 0.5165 0.2500  2 Ru 2.04
Ba6 0.0000 0.0000 0.2500  12 O 2.93

Computed properties:
- spin magnetization (μB/f.u.) = 5.07

---

Model two:
Ba3NaRu2O9 | PBEsol | relaxed

Lattice parameters (Å, degrees): 5.8498 10.1200 14.3238 90.00 90.00 90.00
With the nearest neighbours (Å) after each atom.
Positions (direct):
O1 0.2307 0.5879 0.9080  1 Ru 1.87
O2 0.5000 0.0162 0.7500  2 Ru 2.04
O3 0.5000 0.6792 0.0878  1 Ru 1.84
O4 0.0000 0.4939 0.2500  2 Ru 2.03
Ba1 0.5000 0.1726 0.4062  12 O 2.83-3.09
O5 0.5000 0.9838 0.2500  2 Ru 2.04
Na1 0.0000 0.0000 0.0000  6 O 2.20-2.26
O6 0.2388 0.2548 0.2500  2 Ru 2.03
O7 0.2646 0.9122 0.0900  1 Ru 1.83
O8 0.7612 0.7452 0.7500  2 Ru 2.03
Ru1 0.5000 0.1650 0.8457  6 O 1.83-2.04
O9 0.2646 0.9122 0.4100  1 Ru 1.83
Ru2 0.5000 0.8350 0.3457  6 O 1.83-2.04
Ba2 0.0000 0.3371 0.9141  12 O 2.88-3.03
O10 0.2388 0.7452 0.7500  2 Ru 2.03
O11 0.7693 0.4121 0.4080  1 Ru 1.87
O12 0.7354 0.0878 0.9100  1 Ru 1.83
Ru3 0.0000 0.6654 0.6635  6 O 1.86-2.03
Ru4 0.0000 0.3346 0.1635  6 O 1.86-2.03
O13 0.5000 0.3208 0.9122  1 Ru 1.84
Ba3 0.5000 0.4966 0.7500  12 O 2.90-2.94
Na2 0.5000 0.5000 0.5000  6 O 2.21-2.24
O14 0.0000 0.1809 0.0919  1 Ru 1.86
Ba4 0.0000 0.9998 0.7500  12 O 2.91-2.93
O15 0.7209 0.7600 0.2500  2 Ru 2.03
O16 0.7354 0.0878 0.5900  1 Ru 1.83
O17 0.2646 0.0878 0.5900  1 Ru 1.83
O18 0.7693 0.5879 0.9080  1 Ru 1.87
O19 0.2307 0.5879 0.5920  1 Ru 1.87
Ba5 0.0000 0.6629 0.4141  12 O 2.88-3.03
Ru5 0.5000 0.1650 0.6543  6 O 1.83-2.04
Ru6 0.5000 0.8350 0.1543  6 O 1.83-2.04
O20 0.2307 0.4121 0.4080  1 Ru 1.87
O21 0.2791 0.2400 0.7500  2 Ru 2.03
Ba6 0.5000 0.1726 0.0938  12 O 2.83-3.09
Ba7 0.5000 0.5034 0.2500  12 O 2.90-2.94
O22 0.7612 0.2548 0.2500  2 Ru 2.03
O23 0.0000 0.8191 0.9081  1 Ru 1.86
O24 0.7693 0.4121 0.0920  1 Ru 1.87
Ba8 0.0000 0.3371 0.5859  12 O 2.88-3.03
Ba9 0.0000 0.6629 0.0859  12 O 2.88-3.03
Ru7 0.0000 0.3346 0.3365  6 O 1.86-2.03
O25 0.2646 0.0878 0.9100  1 Ru 1.83
Ru8 0.0000 0.6654 0.8365  6 O 1.86-2.03
O26 0.7354 0.9122 0.4100  1 Ru 1.83
Ba10 0.5000 0.8274 0.5938  12 O 2.83-3.09
O27 0.0000 0.1809 0.4081  1 Ru 1.86
O28 0.0000 0.5061 0.7500  2 Ru 2.03
O29 0.7354 0.9122 0.0900  1 Ru 1.83
O30 0.7209 0.2400 0.7500  2 Ru 2.03
O31 0.5000 0.3208 0.5878  1 Ru 1.84
O32 0.7693 0.5879 0.5920  1 Ru 1.87
Ba11 0.5000 0.8274 0.9062  12 O 2.83-3.09
O33 0.2307 0.4121 0.0920  1 Ru 1.87
Na3 0.5000 0.5000 0.0000  6 O 2.21-2.24
Ba12 0.0000 0.0002 0.2500  12 O 2.91-2.93
O34 0.2791 0.7600 0.2500  2 Ru 2.03
Na4 0.0000 0.0000 0.5000  6 O 2.20-2.26
O35 0.0000 0.8191 0.5919  1 Ru 1.86
O36 0.5000 0.6792 0.4122  1 Ru 1.84

Computed properties:
- spin magnetization (μB/f.u.) = 4.05

---

Preferred: model two; penalty for the next structure: 6 meV per atom.